Computed, not measured: crystalline KH2PbF8 at its relaxed geometry at the GGA-PBE level of DFT.

Lattice parameters (Å, degrees): 5.217 3.801 9.164 89.55 86.62 64.65
Last column: magnetic moment on the atom in μB.
Fractional coordinates of all 12 atoms:
F (0.538, 0.730, 0.502)  0.08
F (0.744, 0.668, 0.980)  0.00
F (0.256, 0.332, 0.020)  0.00
F (0.252, 0.802, 0.798)  0.00
F (0.462, 0.270, 0.498)  0.08
F (0.297, 0.772, 0.220)  0.00
F (0.748, 0.198, 0.202)  0.00
F (0.703, 0.228, 0.780)  0.00
K (0.000, 0.000, 0.500)  0.00
Pb (0.000, 0.000, 0.000)  0.00
H (0.516, 0.467, 0.789)  0.00
H (0.484, 0.533, 0.211)  0.00

Symmetry: P-1
Total magnetic moment: 0.0143 μB per atom
V: 13.66 Å³/atom
Fermi-level density of states: 2.276 states/eV/f.u.
Calculated total energy: -3.924 eV per atom

---

Computed, not measured: crystalline KHPbF6 at its relaxed geometry at the GGA-PBE level of DFT.

Lattice parameters (Å, degrees): 5.904 4.876 5.656 98.15 94.49 62.52
Fractional coordinates of all 9 atoms:
F (0.313, 0.061, 0.604)
F (0.825, 0.379, 0.413)
F (0.555, 0.454, 0.826)
F (0.654, 0.940, 0.178)
F (0.865, 0.793, 0.640)
F (0.250, 0.537, 0.286)
Pb (0.543, 0.234, 0.492)
K (0.143, 0.005, 0.023)
H (0.852, 0.596, 0.538)

Symmetry: P1
Total magnetic moment: 0.0158 μB per atom
V: 15.89 Å³/atom
Fermi-level density of states: 0.000 states/eV/f.u.
Calculated total energy: -4.228 eV per atom

---

> The lowest total magnetic moment belongs to which entry?

KH2PbF8

---

> Which of these has the lowest total magnetic moment?

KH2PbF8

---

> What is the V in the first record?

13.66 Å³/atom